(1)
The following is a DFT calculation (GGA-PBE) of an optimized crystal structure of Ac8CoNi3Cl4.

CIF file:
```
data_Ac8CoNi3Cl4
_cell_length_a 8.5567
_cell_length_b 8.5567
_cell_length_c 23.7832
_cell_angle_alpha 90.00
_cell_angle_beta 90.00
_cell_angle_gamma 120.00
_space_group_name_H-M_alt 'R -3 m'
_space_group_IT_number 166
_space_group_name_Hall '-R 3 2"'
loop_
_atom_site_label
_atom_site_type_symbol
_atom_site_fract_x
_atom_site_fract_y
_atom_site_fract_z
Ac1 Ac 0.0000 0.0000 0.2334
Ac2 Ac 0.0052 0.5026 0.2333
Co1 Co 0.0000 0.0000 0.5000
Ni1 Ni 0.0000 0.5000 0.5000
Cl1 Cl 0.0000 0.0000 0.0000
Cl2 Cl 0.0000 0.5000 0.0000
```

Computed properties:
N(E_F) = 0.803 states/eV/atom
uncorrected formation energy = -922 meV/atom

---

(2)
The following is a DFT calculation (GGA-PBE) of an optimized crystal structure of Ac6Co2NiCl3.

CIF file:
```
data_Ac6Co2NiCl3
_cell_length_a 20.1229
_cell_length_b 4.2225
_cell_length_c 9.3426
_cell_angle_alpha 90.00
_cell_angle_beta 110.92
_cell_angle_gamma 90.00
_space_group_name_H-M_alt 'C 1 2/m 1'
_space_group_IT_number 12
_space_group_name_Hall '-C 2y'
loop_
_atom_site_label
_atom_site_type_symbol
_atom_site_fract_x
_atom_site_fract_y
_atom_site_fract_z
Ac1 Ac 0.0135 0.0000 0.2260
Ac2 Ac 0.1585 0.5000 0.1163
Ac3 Ac 0.1786 0.5000 0.5533
Co1 Co 0.1659 0.0000 0.3315
Ni1 Ni 0.0000 0.5000 0.0000
Cl1 Cl 0.0000 0.5000 0.5000
Cl2 Cl 0.1670 0.0000 0.8341
```

Computed properties:
N(E_F) = 0.422 states/eV/atom
uncorrected formation energy = -890 meV/atom

---

(3)
The following is a DFT calculation (GGA-PBE) of an optimized crystal structure of Ac4CoOsCl2.

CIF file:
```
data_Ac4CoOsCl2
_cell_length_a 7.3567
_cell_length_b 4.2682
_cell_length_c 8.3390
_cell_angle_alpha 90.00
_cell_angle_beta 107.23
_cell_angle_gamma 90.00
_space_group_name_H-M_alt 'P 1 2/m 1'
_space_group_IT_number 10
_space_group_name_Hall '-P 2y'
loop_
_atom_site_label
_atom_site_type_symbol
_atom_site_fract_x
_atom_site_fract_y
_atom_site_fract_z
Ac1 Ac 0.2318 0.0000 0.1997
Ac2 Ac 0.2650 0.5000 0.7975
Co1 Co 0.0000 0.5000 0.0000
Os1 Os 0.5000 0.0000 0.0000
Cl1 Cl 0.0000 0.0000 0.5000
Cl2 Cl 0.5000 0.5000 0.5000
```

Computed properties:
N(E_F) = 0.412 states/eV/atom
uncorrected formation energy = -830 meV/atom

---

(4)
The following is a DFT calculation (GGA-PBE) of an optimized crystal structure of Ac6Co2PCl3.

CIF file:
```
data_Ac6Co2PCl3
_cell_length_a 19.7078
_cell_length_b 4.2234
_cell_length_c 9.3284
_cell_angle_alpha 90.00
_cell_angle_beta 106.91
_cell_angle_gamma 90.00
_space_group_name_H-M_alt 'C 1 2/m 1'
_space_group_IT_number 12
_space_group_name_Hall '-C 2y'
loop_
_atom_site_label
_atom_site_type_symbol
_atom_site_fract_x
_atom_site_fract_y
_atom_site_fract_z
Ac1 Ac 0.0163 0.0000 0.2406
Ac2 Ac 0.1646 0.5000 0.1192
Ac3 Ac 0.1784 0.5000 0.5517
Co1 Co 0.1690 0.0000 0.3332
P1 P 0.0000 0.5000 0.0000
Cl1 Cl 0.0000 0.5000 0.5000
Cl2 Cl 0.1539 0.0000 0.8322
```

Computed properties:
N(E_F) = 0.612 states/eV/atom
uncorrected formation energy = -1064 meV/atom

---

(5)
The following is a DFT calculation (GGA-PBE) of an optimized crystal structure of AcPmCoCl.

CIF file:
```
data_AcPmCoCl
_cell_length_a 4.0387
_cell_length_b 4.0387
_cell_length_c 23.6002
_cell_angle_alpha 90.00
_cell_angle_beta 90.00
_cell_angle_gamma 120.00
_space_group_name_H-M_alt 'R 3 m'
_space_group_IT_number 160
_space_group_name_Hall 'R 3 -2"'
loop_
_atom_site_label
_atom_site_type_symbol
_atom_site_fract_x
_atom_site_fract_y
_atom_site_fract_z
Ac1 Ac 0.0000 0.0000 0.0000
Pm1 Pm 0.0000 0.0000 0.7980
Co1 Co 0.0000 0.0000 0.4015
Cl1 Cl 0.0000 0.0000 0.2215
```

Computed properties:
N(E_F) = 0.220 states/eV/atom
uncorrected formation energy = -816 meV/atom

---

(6)
The following is a DFT calculation (GGA-PBE) of an optimized crystal structure of Ac6CoPt2Cl2.

CIF file:
```
data_Ac6CoPt2Cl2
_cell_length_a 7.5785
_cell_length_b 13.2605
_cell_length_c 7.9349
_cell_angle_alpha 90.00
_cell_angle_beta 108.40
_cell_angle_gamma 90.00
_space_group_name_H-M_alt 'C 1 2/m 1'
_space_group_IT_number 12
_space_group_name_Hall '-C 2y'
loop_
_atom_site_label
_atom_site_type_symbol
_atom_site_fract_x
_atom_site_fract_y
_atom_site_fract_z
Ac1 Ac 0.2315 0.1572 0.2114
Ac2 Ac 0.2441 0.5000 0.2119
Co1 Co 0.0000 0.0000 0.0000
Pt1 Pt 0.0000 0.3312 0.0000
Cl1 Cl 0.0000 0.1639 0.5000
```

Computed properties:
N(E_F) = 0.562 states/eV/atom
uncorrected formation energy = -1051 meV/atom

---

(7)
The following is a DFT calculation (GGA-PBE) of an optimized crystal structure of Ac6CoPt2Cl3.

CIF file:
```
data_Ac6CoPt2Cl3
_cell_length_a 7.5502
_cell_length_b 13.1379
_cell_length_c 8.2973
_cell_angle_alpha 90.00
_cell_angle_beta 107.28
_cell_angle_gamma 90.00
_space_group_name_H-M_alt 'C 1 2/m 1'
_space_group_IT_number 12
_space_group_name_Hall '-C 2y'
loop_
_atom_site_label
_atom_site_type_symbol
_atom_site_fract_x
_atom_site_fract_y
_atom_site_fract_z
Ac1 Ac 0.2254 0.1593 0.2016
Ac2 Ac 0.2468 0.5000 0.2020
Co1 Co 0.0000 0.0000 0.0000
Pt1 Pt 0.0000 0.3328 0.0000
Cl1 Cl 0.0000 0.1552 0.5000
Cl2 Cl 0.0000 0.5000 0.5000
```

Computed properties:
N(E_F) = 0.652 states/eV/atom
uncorrected formation energy = -1250 meV/atom

---

(8)
The following is a DFT calculation (GGA-PBE) of an optimized crystal structure of RbAcCo2Cl8.

CIF file:
```
data_RbAcCo2Cl8
_cell_length_a 6.6456
_cell_length_b 6.6456
_cell_length_c 29.4694
_cell_angle_alpha 90.00
_cell_angle_beta 90.00
_cell_angle_gamma 120.00
_space_group_name_H-M_alt 'R -3'
_space_group_IT_number 148
_space_group_name_Hall '-R 3'
loop_
_atom_site_label
_atom_site_type_symbol
_atom_site_fract_x
_atom_site_fract_y
_atom_site_fract_z
Rb1 Rb 0.0000 0.0000 0.0000
Ac1 Ac 0.0000 0.0000 0.5000
Co1 Co 0.0000 0.0000 0.2520
Cl1 Cl 0.0000 0.0000 0.3261
Cl2 Cl 0.0018 0.6480 0.4416
```

Computed properties:
uncorrected formation energy = -1391 meV/atom

---

(9)
The following is a DFT calculation (GGA-PBE) of an optimized crystal structure of RbAcCoCl6.

CIF file:
```
data_RbAcCoCl6
_cell_length_a 7.0533
_cell_length_b 7.0533
_cell_length_c 14.3152
_cell_angle_alpha 90.00
_cell_angle_beta 90.00
_cell_angle_gamma 120.00
_space_group_name_H-M_alt 'P -3 1 c'
_space_group_IT_number 163
_space_group_name_Hall '-P 3 2c'
loop_
_atom_site_label
_atom_site_type_symbol
_atom_site_fract_x
_atom_site_fract_y
_atom_site_fract_z
Rb1 Rb 0.0000 0.0000 0.0000
Ac1 Ac 0.3333 0.6667 0.2500
Co1 Co 0.3333 0.6667 0.7500
Cl1 Cl 0.0444 0.3872 0.6480
```

Computed properties:
N(E_F) = 0.079 states/eV/atom
uncorrected formation energy = -1671 meV/atom

---

(10)
The following is a DFT calculation (GGA-PBE) of an optimized crystal structure of Ac8Co3RhCl4.

CIF file:
```
data_Ac8Co3RhCl4
_cell_length_a 14.6354
_cell_length_b 8.4493
_cell_length_c 9.3849
_cell_angle_alpha 90.00
_cell_angle_beta 121.32
_cell_angle_gamma 90.00
_space_group_name_H-M_alt 'C 1 2/m 1'
_space_group_IT_number 12
_space_group_name_Hall '-C 2y'
loop_
_atom_site_label
_atom_site_type_symbol
_atom_site_fract_x
_atom_site_fract_y
_atom_site_fract_z
Ac1 Ac 0.0175 0.2453 0.2999
Ac2 Ac 0.2330 0.0000 0.6973
Ac3 Ac 0.2367 0.5000 0.6997
Co1 Co 0.0000 0.0000 0.5000
Co2 Co 0.2500 0.2500 0.5000
Rh1 Rh 0.0000 0.5000 0.5000
Cl1 Cl 0.0000 0.0000 0.0000
Cl2 Cl 0.0000 0.5000 0.0000
Cl3 Cl 0.2500 0.2500 0.0000
```

Computed properties:
N(E_F) = 0.279 states/eV/atom
uncorrected formation energy = -974 meV/atom